# 1
YZrFe2: optimized geometry, GGA-PBEsol.

Summary:
DOS at the Fermi energy: 3.859 states/eV/cell
Total magnetic moment: 1.2 μB per cell
Calculated total energy: -8.48 eV per atom
Energy relative to the elements: -19 meV/atom

POSCAR file:
```
YZrFe2
1.0
3.646 0.000 0.000
0.000 3.833 0.000
0.000 -1.916 5.122
Y Zr Fe
1 1 2
Direct
0.000 0.097 0.195
0.500 0.387 0.775
0.000 0.815 0.631
0.500 0.700 0.401
```

=====

# 2
Ir2PbCl: optimized geometry, GGA-PBEsol.

Summary:
Formation energy without anion corrections: 0.9610 eV per atom
DOS at the Fermi energy: 5.249 states/eV/cell
Distance to the lowest polymorph of the same formula: 0.201 eV per atom
Total magnetic moment: 0.0 μB per cell
Calculated total energy: -5.45 eV per atom

POSCAR file:
```
Ir2PbCl
1.0
4.582 0.000 0.000
2.291 3.968 0.000
2.291 1.323 3.741
Ir Pb Cl
2 1 1
Direct
0.750 0.750 0.750
0.250 0.250 0.250
0.500 0.500 0.500
0.000 0.000 0.000
```

=====

# 3
Sc2PPb: optimized geometry, GGA-PBEsol.

Summary:
DOS at the Fermi energy: 3.947 states/eV/cell
Distance to the lowest polymorph of the same formula: 0.524 eV per atom
Total magnetic moment: 0.0 μB per cell
Calculated total energy: -6.26 eV per atom
Energy relative to the elements: -510 meV/atom

POSCAR file:
```
Sc2PPb
1.0
4.546 0.000 0.000
-2.273 4.478 -0.018
0.000 2.324 3.907
Sc Pb P
2 1 1
Direct
0.750 0.500 0.750
0.250 0.500 0.250
0.000 0.000 0.000
0.500 0.000 0.500
```

=====

# 4
LaBe2Pt: optimized geometry, GGA-PBEsol.

Summary:
DOS at the Fermi energy: 2.592 states/eV/cell
Total magnetic moment: 0.0 μB per cell
Calculated total energy: -5.27 eV per atom
Energy relative to the elements: -197 meV/atom

POSCAR file:
```
LaBe2Pt
1.0
4.152 0.000 0.000
2.076 4.104 -0.004
2.076 0.766 4.032
Be La Pt
2 1 1
Direct
0.830 0.170 0.170
0.170 0.830 0.830
0.000 0.500 0.500
0.500 0.000 0.000
```

=====

# 5
Sm3Rh2: optimized geometry, GGA-PBEsol.

Summary:
DOS at the Fermi energy: 9.190 states/eV/cell
Total magnetic moment: 0.0 μB per cell
Calculated total energy: -6.93 eV per atom
Energy relative to the elements: -623 meV/atom

POSCAR file:
```
Sm3Rh2
1.0
-1.460 -5.500 4.702
6.169 -1.564 3.739
-0.609 2.840 6.786
Sm Rh
9 6
Direct
0.107 0.336 0.836
0.336 0.836 0.107
0.893 0.664 0.164
0.500 0.500 0.500
0.164 0.893 0.664
0.664 0.164 0.893
0.296 0.296 0.296
0.704 0.704 0.704
0.836 0.107 0.336
0.090 0.662 0.457
0.338 0.543 0.910
0.662 0.457 0.090
0.543 0.910 0.338
0.457 0.090 0.662
0.910 0.338 0.543
```

=====

# 6
HfAl2AsW: optimized geometry, GGA-PBEsol.

Summary:
DOS at the Fermi energy: 4.752 states/eV/cell
Total magnetic moment: 0.6 μB per cell
Calculated total energy: -5.80 eV per atom
Energy relative to the elements: 1719 meV/atom

POSCAR file:
```
HfAl2AsW
1.0
-2.711 3.686 -1.342
-4.144 -2.928 0.328
-0.571 1.353 4.868
Al As Hf W
2 1 1 1
Direct
0.000 0.500 0.000
0.000 0.000 0.500
0.500 0.500 0.500
0.000 0.000 0.000
0.500 0.000 0.000
```

=====

# 7
ScTl2Fe: optimized geometry, GGA-PBEsol.

Summary:
DOS at the Fermi energy: 3.990 states/eV/cell
Total magnetic moment: 2.6 μB per cell
Calculated total energy: -5.04 eV per atom
Energy relative to the elements: 172 meV/atom

POSCAR file:
```
ScTl2Fe
1.0
3.355 0.000 0.000
0.000 3.355 0.000
0.000 0.000 6.851
Tl Fe Sc
2 1 1
Direct
0.000 0.000 0.223
0.000 0.000 0.777
0.500 0.500 0.000
0.500 0.500 0.500
```

=====

# 8
Zn3IO: optimized geometry, GGA-PBEsol.

Summary:
Formation energy without anion corrections: 0.0138 eV per atom
DOS at the Fermi energy: 2.332 states/eV/cell
Total magnetic moment: 0.0 μB per cell
Calculated total energy: -2.34 eV per atom

POSCAR file:
```
Zn3IO
1.0
4.467 0.000 0.000
0.000 4.467 0.000
0.000 0.000 4.467
Zn I O
3 1 1
Direct
0.500 0.000 0.000
0.000 0.500 0.000
0.000 0.000 0.500
0.500 0.500 0.500
0.000 0.000 0.000
```

=====

# 9
Tl2PbCl: optimized geometry, GGA-PBEsol.

Summary:
Formation energy without anion corrections: -0.2634 eV per atom
DOS at the Fermi energy: 2.369 states/eV/cell
Distance to the lowest polymorph of the same formula: 0.065 eV per atom
Total magnetic moment: 0.0 μB per cell
Calculated total energy: -3.08 eV per atom

POSCAR file:
```
Tl2PbCl
1.0
-1.280 -1.073 -2.992
-1.360 -1.926 2.487
-7.444 6.402 0.887
Pb Tl Cl
1 2 1
Direct
0.500 0.500 0.000
0.000 0.000 0.277
0.000 0.000 0.723
0.500 0.500 0.500
```

=====

# 10
SrNiP2: optimized geometry, GGA-PBEsol.

Summary:
DOS at the Fermi energy: 0.881 states/eV/cell
Total magnetic moment: 0.0 μB per cell
Calculated total energy: -5.63 eV per atom
Energy relative to the elements: -736 meV/atom

POSCAR file:
```
SrNiP2
1.0
3.711 0.000 0.000
0.000 4.380 0.097
0.000 -0.797 4.680
Ni Sr P
1 1 2
Direct
0.500 0.500 0.000
0.500 0.000 0.500
0.000 0.743 0.900
0.000 0.257 0.100
```

=====

# 11
Ag9Te4Br3: optimized geometry, GGA-PBEsol.

Summary:
Formation energy without anion corrections: -0.0971 eV per atom
DOS at the Fermi energy: 5.772 states/eV/cell
Total magnetic moment: 0.0 μB per cell
Calculated total energy: -3.19 eV per atom

POSCAR file:
```
Ag9Te4Br3
1.0
7.529 0.237 0.114
3.379 6.778 0.053
0.145 0.100 7.656
Ag Te Br
9 4 3
Direct
0.923 0.387 0.648
0.276 0.025 0.610
0.174 0.779 0.894
0.665 0.317 0.289
0.704 0.655 0.142
0.073 0.308 0.279
0.533 0.027 0.314
0.937 0.708 0.430
0.749 0.045 0.998
0.910 0.020 0.657
0.039 0.964 0.227
0.318 0.369 0.503
0.586 0.666 0.483
0.529 0.471 0.944
0.443 0.988 0.945
0.032 0.486 0.947
```

=====

# 12
ZrRe2GeSb: optimized geometry, GGA-PBEsol.

Summary:
Formation energy without anion corrections: 1.9599 eV per atom
DOS at the Fermi energy: 6.180 states/eV/cell
Total magnetic moment: 0.0 μB per cell
Calculated total energy: -7.09 eV per atom

POSCAR file:
```
ZrRe2GeSb
1.0
-1.405 4.257 -1.736
1.322 -1.365 -4.416
-4.544 -1.825 -0.797
Re Zr Sb Ge
2 1 1 1
Direct
0.500 0.000 0.000
0.000 0.500 0.000
0.000 0.000 0.000
0.500 0.500 0.500
0.000 0.000 0.500
```

=====

# 13
CrTc2Ru: optimized geometry, GGA-PBEsol.

Summary:
DOS at the Fermi energy: 4.801 states/eV/cell
Distance to the lowest polymorph of the same formula: 0.002 eV per atom
Total magnetic moment: 0.0 μB per cell
Calculated total energy: -10.61 eV per atom
Energy relative to the elements: 131 meV/atom

POSCAR file:
```
CrTc2Ru
1.0
-3.562 1.099 0.240
-1.121 -3.394 -1.086
2.239 0.023 4.043
Ru Cr Tc
1 1 2
Direct
0.000 0.000 0.000
0.500 0.500 0.000
0.250 0.750 0.500
0.750 0.250 0.500
```

=====

# 14
BaSr2Zn: optimized geometry, GGA-PBEsol.

Summary:
DOS at the Fermi energy: 3.652 states/eV/cell
Total magnetic moment: 0.0 μB per cell
Calculated total energy: -1.89 eV per atom
Energy relative to the elements: -36 meV/atom

POSCAR file:
```
BaSr2Zn
1.0
-2.273 -2.503 -2.257
4.148 0.359 -4.576
2.277 -4.108 5.924
Sr Zn Ba
2 1 1
Direct
0.810 0.810 0.619
0.190 0.190 0.381
0.500 0.000 0.000
0.000 0.500 0.000
```

=====

# 15
SiSbPb: optimized geometry, GGA-PBEsol.

Summary:
Formation energy without anion corrections: 0.3567 eV per atom
DOS at the Fermi energy: 1.658 states/eV/cell
Distance to the lowest polymorph of the same formula: 0.000 eV per atom
Total magnetic moment: 0.0 μB per cell
Calculated total energy: -4.41 eV per atom

POSCAR file:
```
SiSbPb
1.0
-2.989 0.483 -1.006
1.196 -2.041 -4.533
-1.750 -2.983 3.766
Si Sb Pb
1 1 1
Direct
0.499 0.667 0.333
0.500 0.333 0.667
0.000 0.000 0.000
```

=====

# 16
ZrTlPd3: optimized geometry, GGA-PBEsol.

Summary:
DOS at the Fermi energy: 2.827 states/eV/cell
Total magnetic moment: 0.0 μB per cell
Calculated total energy: -5.34 eV per atom
Energy relative to the elements: 579 meV/atom

POSCAR file:
```
ZrTlPd3
1.0
4.875 0.000 0.000
0.000 4.875 0.000
0.000 0.000 4.875
Pd Zr Tl
3 1 1
Direct
0.500 0.000 0.000
0.000 0.500 0.000
0.000 0.000 0.500
0.000 0.000 0.000
0.500 0.500 0.500
```

=====

# 17
CoMo3: optimized geometry, GGA-PBEsol.

Summary:
DOS at the Fermi energy: 3.662 states/eV/cell
Total magnetic moment: 0.0 μB per cell
Calculated total energy: -10.49 eV per atom
Energy relative to the elements: 275 meV/atom

POSCAR file:
```
CoMo3
1.0
-0.238 1.923 -1.877
-2.181 -3.051 -2.849
-3.167 2.226 2.683
Mo Co
3 1
Direct
0.000 0.500 0.500
0.500 0.000 0.500
0.500 0.500 0.000
0.000 0.000 0.000
```

=====

# 18
MnZn3In: optimized geometry, GGA-PBEsol.

Summary:
DOS at the Fermi energy: 3.643 states/eV/cell
Total magnetic moment: 2.6 μB per cell
Calculated total energy: -2.87 eV per atom
Energy relative to the elements: 630 meV/atom

POSCAR file:
```
MnZn3In
1.0
-3.798 2.583 0.834
-1.743 -1.222 -4.154
-2.080 -3.691 1.959
Mn Zn In
1 3 1
Direct
0.000 0.000 0.000
0.000 0.000 0.500
0.000 0.500 0.000
0.500 0.000 0.000
0.500 0.500 0.500
```

=====

# 19
CaYCu2: optimized geometry, GGA-PBEsol.

Summary:
DOS at the Fermi energy: 2.546 states/eV/cell
Total magnetic moment: 0.0 μB per cell
Calculated total energy: -4.54 eV per atom
Energy relative to the elements: -137 meV/atom

POSCAR file:
```
CaYCu2
1.0
-3.526 1.320 0.309
-1.103 -2.088 -3.663
0.440 -4.846 2.629
Y Cu Ca
1 2 1
Direct
0.113 0.000 0.225
0.815 0.000 0.629
0.681 0.500 0.363
0.394 0.500 0.788
```

=====

# 20
Cd2TcHRh: optimized geometry, GGA-PBEsol.

Summary:
DOS at the Fermi energy: 4.725 states/eV/cell
Total magnetic moment: 0.7 μB per cell
Calculated total energy: -4.63 eV per atom

POSCAR file:
```
Cd2TcHRh
1.0
-1.373 2.641 -1.341
0.435 -1.885 -4.158
-4.138 -1.927 0.441
Tc H Rh Cd
1 1 1 2
Direct
0.500 0.500 0.500
0.000 0.000 0.000
0.500 0.000 0.000
0.000 0.000 0.500
0.000 0.500 0.000
```